LuAuNO after structural relaxation. Source: the Open Quantum Materials Database, functional GGA-PBE.

Summary:
The energy relative to the lowest polymorph listed for this composition is 0.000 eV/atom. The mass density is 9.49 g cm⁻³.

Cell: 4.034 5.111 6.820 Å, 90.00 90.00 90.00°
Fractional positions:
Au (0.000, 0.552, 0.454)
Au (0.000, 0.052, 0.546)
Lu (0.500, 0.970, 0.160)
Lu (0.500, 0.470, 0.840)
N (0.000, 0.860, 0.276)
N (0.000, 0.360, 0.724)
O (0.500, 0.373, 0.130)
O (0.500, 0.873, 0.870)

LuAuNO after structural relaxation. Source: the Open Quantum Materials Database, functional GGA-PBE.

Summary:
The energy relative to the lowest polymorph listed for this composition is 0.057 eV/atom. The mass density is 10.29 g cm⁻³.

Cell: 3.614 5.829 6.161 Å, 90.00 90.00 90.00°
Fractional positions:
Au (0.500, 0.981, 0.247)
Au (0.500, 0.482, 0.753)
Lu (0.000, 0.499, 0.294)
Lu (0.000, 0.999, 0.706)
N (0.000, 0.870, 0.369)
N (0.000, 0.370, 0.631)
O (0.500, 0.403, 0.148)
O (0.500, 0.903, 0.852)

LuAuNO after structural relaxation. Source: the Open Quantum Materials Database, functional GGA-PBE.

Summary:
The energy relative to the lowest polymorph listed for this composition is 0.051 eV/atom. The mass density is 12.86 g cm⁻³.

Cell: 4.829 4.829 4.451 Å, 90.00 90.00 90.00°
Fractional positions:
Au (0.250, 0.250, 0.006)
Au (0.750, 0.750, 0.994)
Lu (0.750, 0.250, 0.500)
Lu (0.250, 0.750, 0.500)
N (0.750, 0.750, 0.494)
N (0.250, 0.250, 0.506)
O (0.750, 0.250, 0.000)
O (0.250, 0.750, 0.000)

Looking at final energy for the records above, in order, we have -6.302; -6.245; -6.251 eV/atom.